(1)
# La3YIn12, relaxed, DFT PBE
# Energy of formation from the pure elements in eV per atom: -0.47
# Density in Mg/m³: 7.28
data_La3YIn12
_space_group_name_H-M_alt 'P 1'
_space_group_IT_number 1
_cell_length_a 4.752
_cell_length_b 4.752
_cell_length_c 19.035
_cell_angle_alpha 90.00
_cell_angle_beta 90.00
_cell_angle_gamma 90.00
loop_
_space_group_symop_operation_xyz
'x,y,z'
loop_
_atom_site_label
_atom_site_type_symbol
_atom_site_fract_x
_atom_site_fract_y
_atom_site_fract_z
_atom_site_occupancy
La1 La 0.000 0.000 0.000 1
La2 La 0.000 0.000 0.255 1
La3 La 0.000 0.000 0.745 1
Y1 Y 0.000 0.000 0.500 1
In1 In 0.000 0.500 0.127 1
In2 In 0.000 0.500 0.380 1
In3 In 0.000 0.500 0.620 1
In4 In 0.000 0.500 0.873 1
In5 In 0.500 0.000 0.127 1
In6 In 0.500 0.000 0.380 1
In7 In 0.500 0.000 0.620 1
In8 In 0.500 0.000 0.873 1
In9 In 0.500 0.500 0.000 1
In10 In 0.500 0.500 0.251 1
In11 In 0.500 0.500 0.500 1
In12 In 0.500 0.500 0.749 1



(2)
# AlZnGe2O6, relaxed, DFT PBE
# Uncorrected formation energy in eV/atom: -1.74
# Density in Mg/m³: 4.97
data_AlZnGe2O6
_space_group_name_H-M_alt 'P 1'
_space_group_IT_number 1
_cell_length_a 6.526
_cell_length_b 6.526
_cell_length_c 5.321
_cell_angle_alpha 97.12
_cell_angle_beta 97.12
_cell_angle_gamma 86.57
loop_
_space_group_symop_operation_xyz
'x,y,z'
loop_
_atom_site_label
_atom_site_type_symbol
_atom_site_fract_x
_atom_site_fract_y
_atom_site_fract_z
_atom_site_occupancy
Al1 Al 0.234 0.766 0.750 1
Al2 Al 0.766 0.234 0.250 1
Zn1 Zn 0.411 0.589 0.250 1
Zn2 Zn 0.589 0.411 0.750 1
Ge1 Ge 0.088 0.287 0.797 1
Ge2 Ge 0.287 0.088 0.297 1
Ge3 Ge 0.713 0.912 0.703 1
Ge4 Ge 0.912 0.713 0.203 1
O1 O 0.051 0.215 0.133 1
O2 O 0.137 0.653 0.416 1
O3 O 0.215 0.051 0.633 1
O4 O 0.281 0.486 0.856 1
O5 O 0.347 0.863 0.084 1
O6 O 0.486 0.281 0.356 1
O7 O 0.514 0.719 0.644 1
O8 O 0.653 0.137 0.916 1
O9 O 0.719 0.514 0.144 1
O10 O 0.785 0.949 0.367 1
O11 O 0.863 0.347 0.584 1
O12 O 0.949 0.785 0.867 1